Record 1
Entry from the Alexandria database: a relaxed Eu3V5P12 crystal (GGA-PBE).

```
Eu3V5P12
1.0
-7.517 7.517 7.517
7.517 -7.517 7.517
7.517 7.517 -7.517
Eu V P
12 20 48
Cartesian
3.758 1.879 0.000
7.517 3.758 -1.879
1.879 0.000 3.758
9.396 0.000 3.758
0.000 3.758 1.879
3.758 -1.879 7.517
3.758 9.396 0.000
7.517 3.758 5.638
-1.879 7.517 3.758
5.638 7.517 3.758
0.000 3.758 9.396
3.758 5.638 7.517
0.000 0.000 0.000
3.758 3.758 -3.758
3.758 -3.758 3.758
7.517 0.000 0.000
11.275 1.879 0.000
7.517 -3.758 5.638
5.638 7.517 -3.758
5.638 0.000 3.758
3.758 5.638 0.000
7.517 3.758 1.879
-3.758 3.758 3.758
0.000 7.517 0.000
0.000 0.000 7.517
3.758 3.758 3.758
0.000 3.758 5.638
3.758 1.879 7.517
1.879 7.517 3.758
1.879 0.000 11.275
0.000 11.275 1.879
-3.758 5.638 7.517
1.925 -1.029 1.071
9.350 4.830 -4.787
6.488 -1.071 1.925
12.304 -1.834 2.687
1.071 1.925 -1.029
10.204 2.730 -1.834
9.442 1.029 1.071
9.350 -2.687 4.787
4.830 4.787 -1.834
6.446 1.925 1.029
-1.029 1.071 1.925
4.787 -1.834 4.830
6.488 6.446 -1.925
4.787 1.834 2.687
6.446 -1.925 6.488
4.830 -4.787 9.350
1.925 6.488 -1.071
9.350 2.687 2.730
2.687 4.787 1.834
8.588 5.592 1.029
4.787 9.350 -2.687
6.488 1.071 5.592
1.834 2.687 4.787
1.925 1.029 6.446
5.592 6.488 1.071
5.683 4.830 2.730
1.029 6.446 1.925
2.730 -1.834 10.204
-1.071 1.925 6.488
4.830 2.730 5.683
-1.834 4.830 4.787
5.592 1.029 8.588
2.687 12.304 -1.834
1.071 9.442 1.029
2.730 5.683 4.830
1.029 1.071 9.442
2.730 9.350 2.687
8.546 6.446 5.592
1.071 5.592 6.488
2.687 2.730 9.350
-1.834 10.204 2.730
-1.925 6.488 6.446
-2.687 4.787 9.350
6.446 5.592 8.546
-4.787 9.350 4.830
1.029 8.588 5.592
-1.834 2.687 12.304
5.592 8.546 6.446
```

The formation energy comes out at -254 meV/atom. The value obtained for the raw total energy is -7.32 eV per atom.

---

Record 2
Entry from the Alexandria database: a relaxed EuP2W crystal (GGA-PBE).

```
EuP2W
1.0
3.139 0.000 0.000
0.000 3.139 0.000
0.000 0.000 7.030
Eu P W
1 2 1
Cartesian
0.000 0.000 0.000
1.569 1.569 2.132
1.569 1.569 4.898
0.000 0.000 3.515
```

The formation energy comes out at -480 meV/atom. As for the energy relative to the lowest polymorph listed for this composition: 0.117 eV/atom. The value obtained for the raw total energy is -8.99 eV per atom.

---

Record 3
Entry from the Alexandria database: a relaxed EuP2W crystal (GGA-PBE).

```
EuP2W
1.0
1.847 1.066 6.455
-1.847 1.066 6.455
0.000 -2.133 6.455
Eu P W
1 2 1
Cartesian
0.000 0.000 0.000
0.000 0.000 4.561
0.000 0.000 14.804
0.000 0.000 9.683
```

The formation energy comes out at -597 meV/atom. As for the energy relative to the lowest polymorph listed for this composition: 0.000 eV/atom. The value obtained for the raw total energy is -9.11 eV per atom.

---

Record 4
Entry from the Alexandria database: a relaxed EuYP2 crystal (GGA-PBE).

```
EuYP2
1.0
2.042 1.179 6.703
-2.042 1.179 6.703
0.000 -2.358 6.703
Eu Y P
1 1 2
Cartesian
0.000 0.000 0.000
0.000 0.000 10.055
0.000 0.000 4.961
0.000 0.000 15.148
```

The formation energy comes out at -1334 meV/atom. The value obtained for the raw total energy is -8.22 eV per atom.